Below is a relaxed structure of KScFeO3, with properties calculated at the GGA+U level.

The total energy comes out at -6.82 eV/atom. For the volume, the calculation gives 17.54 A^3/atom. The value obtained for the size of the total moment is 8.0 μB per cell.

It has space group P2_1/m (No. 11), with a = 7.335 Å, b = 3.217 Å, c = 9.084 Å, α = 90.00°, β = 100.95° and γ = 90.00°. The distinct sites, in fractional coordinates, are K at (0.186, 0.250, 0.233), Sc at (0.364, 0.750, 0.883), Fe at (0.133, 0.250, 0.590), O at (0.164, 0.750, 0.463), O at (0.187, 0.250, 0.816) and O at (0.431, 0.750, 0.106).